First-principles (PBE) data for a geometry-optimized Tb3SmHoSc structure, as listed in the Alexandria database.

Lattice parameters (Å, degrees): 7.8574 7.8574 9.9706 90.00 90.00 143.17
Last column: nearest neighbours and their distance in Å.
Fractional positions:
Tb (0.1673, 0.8327, 0.5007)  5 Tb 3.48-3.52, 2 Sm 3.49-3.56, 3 Sc 3.51, 2 Ho 3.52
Tb (0.1673, 0.8327, 0.9993)  5 Tb 3.48-3.52, 2 Sm 3.49-3.56, 3 Sc 3.51, 2 Ho 3.52
Tb (0.3308, 0.6692, 0.7500)  2 Sc 3.48, 6 Tb 3.48-3.52, 2 Ho 3.55, 2 Sm 3.57
Tb (0.6692, 0.3308, 0.2500)  2 Sc 3.48, 6 Tb 3.48-3.52, 2 Ho 3.55, 2 Sm 3.57
Tb (0.8327, 0.1673, 0.0007)  5 Tb 3.48-3.52, 2 Sm 3.49-3.56, 3 Sc 3.51, 2 Ho 3.52
Tb (0.8327, 0.1673, 0.4993)  5 Tb 3.48-3.52, 2 Sm 3.49-3.56, 3 Sc 3.51, 2 Ho 3.52
Sm (0.0025, 0.9975, 0.7500)  6 Tb 3.49-3.57, 2 Sc 3.50, 4 Ho 3.52
Sm (0.9975, 0.0025, 0.2500)  6 Tb 3.49-3.57, 2 Sc 3.50, 4 Ho 3.52
Ho (0.5000, 0.5000, 0.0000)  4 Sm 3.52, 6 Tb 3.52-3.55, 2 Sc 3.53
Ho (0.5000, 0.5000, 0.5000)  4 Sm 3.52, 6 Tb 3.52-3.55, 2 Sc 3.53
Sc (0.3324, 0.6676, 0.2500)  8 Tb 3.48-3.51, 2 Sm 3.50, 2 Ho 3.53
Sc (0.6676, 0.3324, 0.7500)  8 Tb 3.48-3.51, 2 Sm 3.50, 2 Ho 3.53

- Formation enthalpy at 0 K: 35 meV per atom
- Space group: No. 63
- Spin magnetization: 0.00 μB per cell
- Density of states at the Fermi level: 17.66 states/eV per cell